This record from Alexandria via LeMat-Bulk describes a relaxed KSbRu2 crystal. The functional is GGA-PBE.

**Space group**: Immm
**Energy**: -5.086 eV/atom

abc: 5.770 5.770 5.770
angles: 148.50 123.56 66.08
Fractional coordinates of all 4 atoms:
K (0.250, 0.750, 0.500)
Ru (0.962, 0.962, 0.000)
Ru (0.538, 0.538, 0.000)
Sb (0.750, 0.250, 0.500)

This record from Alexandria via LeMat-Bulk describes a relaxed KSbRu2 crystal. The functional is GGA-PBE.

**Space group**: R-3m
**Energy**: -5.267 eV/atom

abc: 9.473 9.473 9.473
angles: 19.54 19.54 19.54
Site moments in Bohr magnetons follow the coordinates.
Fractional coordinates of all 4 atoms:
K (0.750, 0.750, 0.750)  0.00
Ru (0.983, 0.983, 0.983)  0.20
Ru (0.517, 0.517, 0.517)  0.20
Sb (0.250, 0.250, 0.250)  -0.01

This record from Alexandria via LeMat-Bulk describes a relaxed KSbRu3 crystal. The functional is GGA-PBE.

**Space group**: Pm-3m
**Energy**: -5.234 eV/atom

abc: 4.986 4.986 4.986
angles: 90.00 90.00 90.00
Site moments in Bohr magnetons follow the coordinates.
Fractional coordinates of all 5 atoms:
Sb (0.000, 0.000, 0.000)  -0.07
K (0.500, 0.500, 0.500)  0.00
Ru (0.000, 0.500, 0.000)  1.30
Ru (0.000, 0.000, 0.500)  1.40
Ru (0.500, 0.000, 0.000)  0.97